Na10B17C3 | PBE-GGA | relaxed

Geometry as POSCAR:
```
Na10B17C3
1.0
9.0858 -1.4120 0.0000
9.0858 1.4120 0.0000
-5.1928 0.0000 12.7757
Na B C
10 17 3
direct
0.0000 0.0000 0.0000
0.0011 0.0011 0.5007
0.1993 0.1993 0.8977
0.2007 0.2007 0.4017
0.3999 0.3999 0.7981
0.4010 0.4010 0.3027
0.5992 0.5992 0.6985
0.6003 0.6003 0.2027
0.7999 0.7999 0.5988
0.8008 0.8008 0.1018
0.0284 0.0284 0.8050
0.0411 0.0411 0.3336
0.1691 0.1691 0.0891
0.2231 0.2231 0.6946
0.2310 0.2310 0.2139
0.3701 0.3701 0.9904
0.3748 0.3748 0.4986
0.4337 0.4337 0.1179
0.5663 0.5663 0.8813
0.6296 0.6296 0.0087
0.6326 0.6326 0.5159
0.7649 0.7649 0.7776
0.7720 0.7720 0.2960
0.8273 0.8273 0.9033
0.8347 0.8347 0.4201
0.9635 0.9635 0.6743
0.9742 0.9742 0.1993
0.1638 0.1638 0.5777
0.4340 0.4340 0.6152
0.5714 0.5714 0.3944
```

Summary:
ΔE to the lowest computed polymorph in eV per atom: 0.005
Symmetry: Cm, No. 8
ρ in kg/m3: 2278
Total moment in μB per cell: 0.00
Calculated formation energy in eV/atom: 0.210